A plane-wave DFT calculation with PBEsol was carried out for crystalline BeSi2Pt at its relaxed geometry.

abc: 4.1374 4.1374 3.2830
angles: 90.00 90.00 111.10
With the nearest neighbours (Å) after each atom.
Fractional positions:
Be (0.0000, 0.0000, 0.0000)  2 Pt 2.34
Si (0.0000, 0.5000, 0.5000)  2 Si 2.34
Si (0.5000, 0.0000, 0.5000)  2 Si 2.34
Pt (0.5000, 0.5000, 0.0000)  2 Be 2.34

- Uncorrected energy: -5.6986 eV/atom
- Formation energy (no corrections): -0.08 eV/atom
- Symmetry: No. 65

A plane-wave DFT calculation with PBEsol was carried out for crystalline BeSi2Pt at its relaxed geometry.

abc: 7.5051 7.5051 7.5051
angles: 22.10 22.10 22.10
With the nearest neighbours (Å) after each atom.
Fractional positions:
Be (0.0000, 0.0000, 0.0000)  6 Si 2.39
Si (0.2551, 0.2551, 0.2551)  3 Be 2.39, 3 Pt 2.56
Si (0.7449, 0.7449, 0.7449)  3 Be 2.39, 3 Pt 2.56
Pt (0.5000, 0.5000, 0.5000)  6 Si 2.56

- Uncorrected energy: -5.6905 eV/atom
- Formation energy (no corrections): -0.08 eV/atom
- Symmetry: No. 166

A plane-wave DFT calculation with PBEsol was carried out for crystalline Be2SiPt2 at its relaxed geometry.

abc: 6.5948 6.5948 6.5948
angles: 152.48 152.48 39.31
With the nearest neighbours (Å) after each atom.
Fractional positions:
Be (0.2500, 0.7500, 0.5000)  4 Be 2.22, 4 Pt 2.35
Be (0.7500, 0.2500, 0.5000)  4 Be 2.22, 4 Pt 2.35
Si (0.0000, 0.0000, 0.0000)  8 Pt 2.60
Pt (0.3905, 0.3905, 0.0000)  4 Be 2.35, 4 Si 2.60
Pt (0.6095, 0.6095, 0.0000)  4 Be 2.35, 4 Si 2.60

- Uncorrected energy: -6.0350 eV/atom
- Formation energy (no corrections): -0.50 eV/atom
- Symmetry: No. 139

A plane-wave DFT calculation with PBEsol was carried out for crystalline BeSi2Pt at its relaxed geometry.

abc: 4.4854 4.4854 4.4854
angles: 133.13 127.04 73.38
With the nearest neighbours (Å) after each atom.
Fractional positions:
Be (0.0000, 0.0000, 0.0000)  8 Si 2.48-2.74, 4 Pt 2.56-2.66
Si (0.5141, 0.5141, 0.0000)  4 Si 2.52-2.71, 4 Pt 2.58-2.65, 4 Be 2.68
Si (0.7607, 0.2607, 0.5000)  4 Be 2.48-2.74, 4 Si 2.52-2.71, 4 Pt 2.68
Pt (0.2557, 0.7557, 0.5000)  4 Be 2.56-2.66, 8 Si 2.58-2.68

- Uncorrected energy: -5.6458 eV/atom
- Formation energy (no corrections): -0.03 eV/atom
- Symmetry: No. 44

A plane-wave DFT calculation with PBEsol was carried out for crystalline BeSi2Pt2 at its relaxed geometry.

abc: 6.3513 6.3513 3.5127
angles: 90.00 90.00 90.00
With the nearest neighbours (Å) after each atom.
Fractional positions:
Be (0.0000, 0.0000, 0.0000)  4 Pt 2.38
Be (0.5000, 0.5000, 0.0000)  4 Pt 2.38
Si (0.1475, 0.3525, 0.5000)  6 Pt 2.45-2.64, 1 Si 2.65
Si (0.3525, 0.8525, 0.5000)  6 Pt 2.45-2.64, 1 Si 2.65
Si (0.6475, 0.1475, 0.5000)  6 Pt 2.45-2.64, 1 Si 2.65
Si (0.8525, 0.6475, 0.5000)  6 Pt 2.45-2.64, 1 Si 2.65
Pt (0.1619, 0.6619, 0.0000)  2 Be 2.38, 6 Si 2.45-2.64
Pt (0.3381, 0.1619, 0.0000)  2 Be 2.38, 6 Si 2.45-2.64
Pt (0.6619, 0.8381, 0.0000)  2 Be 2.38, 6 Si 2.45-2.64
Pt (0.8381, 0.3381, 0.0000)  2 Be 2.38, 6 Si 2.45-2.64

- Uncorrected energy: -6.0993 eV/atom
- Formation energy (no corrections): -0.22 eV/atom
- Symmetry: No. 127
- Distance to the lowest polymorph of the same formula: 0.0 kJ per mole of atoms

A plane-wave DFT calculation with PBEsol was carried out for crystalline BeSi2Pt2 at its relaxed geometry.

abc: 6.0107 6.0107 3.9173
angles: 90.00 90.00 90.00
With the nearest neighbours (Å) after each atom.
Fractional positions:
Be (0.0000, 0.0000, 0.0000)  4 Si 2.36
Be (0.5000, 0.5000, 0.0000)  4 Si 2.36
Si (0.1297, 0.3703, 0.0000)  1 Si 2.20, 2 Pt 2.31, 2 Be 2.36
Si (0.3703, 0.8703, 0.0000)  1 Si 2.20, 2 Pt 2.31, 2 Be 2.36
Si (0.6297, 0.1297, 0.0000)  1 Si 2.20, 2 Pt 2.31, 2 Be 2.36
Si (0.8703, 0.6297, 0.0000)  1 Si 2.20, 2 Pt 2.31, 2 Be 2.36
Pt (0.2259, 0.7259, 0.5000)  2 Si 2.31
Pt (0.2741, 0.2259, 0.5000)  2 Si 2.31
Pt (0.7259, 0.7741, 0.5000)  2 Si 2.31
Pt (0.7741, 0.2741, 0.5000)  2 Si 2.31

- Uncorrected energy: -5.9659 eV/atom
- Formation energy (no corrections): -0.08 eV/atom
- Symmetry: No. 127
- Distance to the lowest polymorph of the same formula: 12.9 kJ per mole of atoms

A plane-wave DFT calculation with PBEsol was carried out for crystalline SrBe3Pt at its relaxed geometry.

abc: 4.3794 4.3794 4.3794
angles: 90.00 90.00 90.00
With the nearest neighbours (Å) after each atom.
Fractional positions:
Sr (0.0000, 0.0000, 0.0000)  12 Be 3.10
Be (0.0000, 0.5000, 0.5000)  2 Pt 2.19
Be (0.5000, 0.0000, 0.5000)  2 Pt 2.19
Be (0.5000, 0.5000, 0.0000)  2 Pt 2.19
Pt (0.5000, 0.5000, 0.5000)  6 Be 2.19

- Uncorrected energy: -4.3787 eV/atom
- Symmetry: No. 221

A plane-wave DFT calculation with PBEsol was carried out for crystalline Sr3BePt at its relaxed geometry.

abc: 5.7406 5.7406 5.7406
angles: 90.00 90.00 90.00
With the nearest neighbours (Å) after each atom.
Fractional positions:
Sr (0.0000, 0.0000, 0.5000)  2 Pt 2.87
Sr (0.0000, 0.5000, 0.0000)  2 Pt 2.87
Sr (0.5000, 0.0000, 0.0000)  2 Pt 2.87
Be (0.5000, 0.5000, 0.5000)  12 Sr 4.06
Pt (0.0000, 0.0000, 0.0000)  6 Sr 2.87

- Uncorrected energy: -3.1862 eV/atom
- Symmetry: No. 221

The density of states at the Fermi level results, record by record, are as follows: 0.94 1.42 1.23 1.71 2.35 1.00 1.42 2.57 states/eV/f.u..